Version w
The following is a PBE calculation of a relaxed structure of NaCuReIr, from OQMD via LeMat-Bulk.

a b c (Å): 6.135 6.135 6.135
angles (deg): 90.00 90.00 90.00
Fractional coordinates of all 16 atoms:
Na1 0.000 0.000 0.000
Na2 0.000 0.500 0.500
Na3 0.500 0.000 0.500
Na4 0.500 0.500 0.000
Cu1 0.250 0.250 0.750
Cu2 0.250 0.750 0.250
Cu3 0.750 0.250 0.250
Cu4 0.750 0.750 0.750
Re1 0.250 0.250 0.250
Re2 0.250 0.750 0.750
Re3 0.750 0.250 0.750
Re4 0.750 0.750 0.250
Ir1 0.000 0.000 0.500
Ir2 0.000 0.500 0.000
Ir3 0.500 0.000 0.000
Ir4 0.500 0.500 0.500


Version x
The following is a PBE calculation of a relaxed structure of NaCuReIr, from OQMD via LeMat-Bulk.

a b c (Å): 6.168 6.168 6.168
angles (deg): 90.00 90.00 90.00
Fractional coordinates of all 16 atoms:
Na1 0.000 0.000 0.000
Na2 0.000 0.500 0.500
Na3 0.500 0.000 0.500
Na4 0.500 0.500 0.000
Cu1 0.250 0.250 0.750
Cu2 0.250 0.750 0.250
Cu3 0.750 0.250 0.250
Cu4 0.750 0.750 0.750
Re1 0.000 0.000 0.500
Re2 0.000 0.500 0.000
Re3 0.500 0.000 0.000
Re4 0.500 0.500 0.500
Ir1 0.250 0.250 0.250
Ir2 0.250 0.750 0.750
Ir3 0.750 0.250 0.750
Ir4 0.750 0.750 0.250


Which is the most stable structure? version w is the most stable.


Version w
The following is a PBE calculation of a relaxed structure of NbCuIrPb, from OQMD via LeMat-Bulk.

a b c (Å): 6.514 6.514 6.514
angles (deg): 90.00 90.00 90.00
Fractional coordinates of all 16 atoms:
Nb1 0.000 0.000 0.000
Nb2 0.000 0.500 0.500
Nb3 0.500 0.000 0.500
Nb4 0.500 0.500 0.000
Cu1 0.250 0.250 0.750
Cu2 0.250 0.750 0.250
Cu3 0.750 0.250 0.250
Cu4 0.750 0.750 0.750
Ir1 0.250 0.250 0.250
Ir2 0.250 0.750 0.750
Ir3 0.750 0.250 0.750
Ir4 0.750 0.750 0.250
Pb1 0.000 0.000 0.500
Pb2 0.000 0.500 0.000
Pb3 0.500 0.000 0.000
Pb4 0.500 0.500 0.500


Version x
The following is a PBE calculation of a relaxed structure of NbCuIrPb, from OQMD via LeMat-Bulk.

a b c (Å): 6.516 6.516 6.516
angles (deg): 90.00 90.00 90.00
Fractional coordinates of all 16 atoms:
Nb1 0.000 0.000 0.000
Nb2 0.000 0.500 0.500
Nb3 0.500 0.000 0.500
Nb4 0.500 0.500 0.000
Cu1 0.000 0.000 0.500
Cu2 0.000 0.500 0.000
Cu3 0.500 0.000 0.000
Cu4 0.500 0.500 0.500
Ir1 0.250 0.250 0.750
Ir2 0.250 0.750 0.250
Ir3 0.750 0.250 0.250
Ir4 0.750 0.750 0.750
Pb1 0.250 0.250 0.250
Pb2 0.250 0.750 0.750
Pb3 0.750 0.250 0.750
Pb4 0.750 0.750 0.250


Which is the most stable structure? version w is the most stable.


Version w
The following is a PBE calculation of a relaxed structure of NbTlCuIr, from OQMD via LeMat-Bulk.

a b c (Å): 6.454 6.454 6.454
angles (deg): 90.00 90.00 90.00
Fractional coordinates of all 16 atoms:
Nb1 0.000 0.000 0.000
Nb2 0.000 0.500 0.500
Nb3 0.500 0.000 0.500
Nb4 0.500 0.500 0.000
Tl1 0.250 0.250 0.250
Tl2 0.250 0.750 0.750
Tl3 0.750 0.250 0.750
Tl4 0.750 0.750 0.250
Cu1 0.000 0.000 0.500
Cu2 0.000 0.500 0.000
Cu3 0.500 0.000 0.000
Cu4 0.500 0.500 0.500
Ir1 0.250 0.250 0.750
Ir2 0.250 0.750 0.250
Ir3 0.750 0.250 0.250
Ir4 0.750 0.750 0.750


Version x
The following is a PBE calculation of a relaxed structure of NbTlCuIr, from OQMD via LeMat-Bulk.

a b c (Å): 6.447 6.447 6.447
angles (deg): 90.00 90.00 90.00
Fractional coordinates of all 16 atoms:
Nb1 0.000 0.000 0.000
Nb2 0.000 0.500 0.500
Nb3 0.500 0.000 0.500
Nb4 0.500 0.500 0.000
Tl1 0.000 0.000 0.500
Tl2 0.000 0.500 0.000
Tl3 0.500 0.000 0.000
Tl4 0.500 0.500 0.500
Cu1 0.250 0.250 0.750
Cu2 0.250 0.750 0.250
Cu3 0.750 0.250 0.250
Cu4 0.750 0.750 0.750
Ir1 0.250 0.250 0.250
Ir2 0.250 0.750 0.750
Ir3 0.750 0.250 0.750
Ir4 0.750 0.750 0.250


Which is the most stable structure? version x is the most stable.


Version w
The following is a PBE calculation of a relaxed structure of YNbCuIr, from OQMD via LeMat-Bulk.

a b c (Å): 6.619 6.619 6.619
angles (deg): 90.00 90.00 90.00
Fractional coordinates of all 16 atoms:
Y1 0.000 0.000 0.000
Y2 0.000 0.500 0.500
Y3 0.500 0.000 0.500
Y4 0.500 0.500 0.000
Nb1 0.000 0.000 0.500
Nb2 0.000 0.500 0.000
Nb3 0.500 0.000 0.000
Nb4 0.500 0.500 0.500
Cu1 0.250 0.250 0.250
Cu2 0.250 0.750 0.750
Cu3 0.750 0.250 0.750
Cu4 0.750 0.750 0.250
Ir1 0.250 0.250 0.750
Ir2 0.250 0.750 0.250
Ir3 0.750 0.250 0.250
Ir4 0.750 0.750 0.750


Version x
The following is a PBE calculation of a relaxed structure of YNbCuIr, from OQMD via LeMat-Bulk.

a b c (Å): 6.480 6.480 6.480
angles (deg): 90.00 90.00 90.00
Fractional coordinates of all 16 atoms:
Y1 0.000 0.000 0.000
Y2 0.000 0.500 0.500
Y3 0.500 0.000 0.500
Y4 0.500 0.500 0.000
Nb1 0.250 0.250 0.750
Nb2 0.250 0.750 0.250
Nb3 0.750 0.250 0.250
Nb4 0.750 0.750 0.750
Cu1 0.250 0.250 0.250
Cu2 0.250 0.750 0.750
Cu3 0.750 0.250 0.750
Cu4 0.750 0.750 0.250
Ir1 0.000 0.000 0.500
Ir2 0.000 0.500 0.000
Ir3 0.500 0.000 0.000
Ir4 0.500 0.500 0.500


Which is the most stable structure? version w is the most stable.


Version w
The following is a PBE calculation of a relaxed structure of CuNiIrPb, from OQMD via LeMat-Bulk.

a b c (Å): 6.224 6.224 6.224
angles (deg): 90.00 90.00 90.00
Fractional coordinates of all 16 atoms:
Cu1 0.000 0.000 0.000
Cu2 0.000 0.500 0.500
Cu3 0.500 0.000 0.500
Cu4 0.500 0.500 0.000
Ni1 0.000 0.000 0.500
Ni2 0.000 0.500 0.000
Ni3 0.500 0.000 0.000
Ni4 0.500 0.500 0.500
Ir1 0.250 0.250 0.250
Ir2 0.250 0.750 0.750
Ir3 0.750 0.250 0.750
Ir4 0.750 0.750 0.250
Pb1 0.250 0.250 0.750
Pb2 0.250 0.750 0.250
Pb3 0.750 0.250 0.250
Pb4 0.750 0.750 0.750


Version x
The following is a PBE calculation of a relaxed structure of CuNiIrPb, from OQMD via LeMat-Bulk.

a b c (Å): 6.279 6.279 6.279
angles (deg): 90.00 90.00 90.00
Fractional coordinates of all 16 atoms:
Cu1 0.000 0.000 0.000
Cu2 0.000 0.500 0.500
Cu3 0.500 0.000 0.500
Cu4 0.500 0.500 0.000
Ni1 0.250 0.250 0.250
Ni2 0.250 0.750 0.750
Ni3 0.750 0.250 0.750
Ni4 0.750 0.750 0.250
Ir1 0.000 0.000 0.500
Ir2 0.000 0.500 0.000
Ir3 0.500 0.000 0.000
Ir4 0.500 0.500 0.500
Pb1 0.250 0.250 0.750
Pb2 0.250 0.750 0.250
Pb3 0.750 0.250 0.250
Pb4 0.750 0.750 0.750


Which is the most stable structure? version x is the most stable.


Version w
The following is a PBE calculation of a relaxed structure of NpCuIr, from OQMD via LeMat-Bulk.

a b c (Å): 6.242 6.242 6.242
angles (deg): 90.00 90.00 90.00
Fractional coordinates of all 12 atoms:
Np1 0.000 0.000 0.000
Np2 0.000 0.500 0.500
Np3 0.500 0.000 0.500
Np4 0.500 0.500 0.000
Cu1 0.250 0.250 0.750
Cu2 0.250 0.750 0.250
Cu3 0.750 0.250 0.250
Cu4 0.750 0.750 0.750
Ir1 0.250 0.250 0.250
Ir2 0.250 0.750 0.750
Ir3 0.750 0.250 0.750
Ir4 0.750 0.750 0.250


Version x
The following is a PBE calculation of a relaxed structure of NpCuIr, from OQMD via LeMat-Bulk.

a b c (Å): 6.226 6.226 6.226
angles (deg): 90.00 90.00 90.00
Fractional coordinates of all 12 atoms:
Np1 0.000 0.000 0.000
Np2 0.000 0.500 0.500
Np3 0.500 0.000 0.500
Np4 0.500 0.500 0.000
Cu1 0.000 0.000 0.500
Cu2 0.000 0.500 0.000
Cu3 0.500 0.000 0.000
Cu4 0.500 0.500 0.500
Ir1 0.250 0.250 0.250
Ir2 0.250 0.750 0.750
Ir3 0.750 0.250 0.750
Ir4 0.750 0.750 0.250


Which is the most stable structure? version x is the most stable.


Version w
The following is a PBE calculation of a relaxed structure of ZrCuIrPb, from OQMD via LeMat-Bulk.

a b c (Å): 6.600 6.600 6.600
angles (deg): 90.00 90.00 90.00
Fractional coordinates of all 16 atoms:
Zr1 0.000 0.000 0.000
Zr2 0.000 0.500 0.500
Zr3 0.500 0.000 0.500
Zr4 0.500 0.500 0.000
Cu1 0.250 0.250 0.250
Cu2 0.250 0.750 0.750
Cu3 0.750 0.250 0.750
Cu4 0.750 0.750 0.250
Ir1 0.000 0.000 0.500
Ir2 0.000 0.500 0.000
Ir3 0.500 0.000 0.000
Ir4 0.500 0.500 0.500
Pb1 0.250 0.250 0.750
Pb2 0.250 0.750 0.250
Pb3 0.750 0.250 0.250
Pb4 0.750 0.750 0.750


Version x
The following is a PBE calculation of a relaxed structure of ZrCuIrPb, from OQMD via LeMat-Bulk.

a b c (Å): 6.661 6.661 6.661
angles (deg): 90.00 90.00 90.00
Fractional coordinates of all 16 atoms:
Zr1 0.000 0.000 0.000
Zr2 0.000 0.500 0.500
Zr3 0.500 0.000 0.500
Zr4 0.500 0.500 0.000
Cu1 0.000 0.000 0.500
Cu2 0.000 0.500 0.000
Cu3 0.500 0.000 0.000
Cu4 0.500 0.500 0.500
Ir1 0.250 0.250 0.750
Ir2 0.250 0.750 0.250
Ir3 0.750 0.250 0.250
Ir4 0.750 0.750 0.750
Pb1 0.250 0.250 0.250
Pb2 0.250 0.750 0.750
Pb3 0.750 0.250 0.750
Pb4 0.750 0.750 0.250


Which is the most stable structure? version x is the most stable.


Version w
The following is a PBE calculation of a relaxed structure of PmCuIr, from OQMD via LeMat-Bulk.

a b c (Å): 6.454 6.454 6.454
angles (deg): 90.00 90.00 90.00
Fractional coordinates of all 12 atoms:
Pm1 0.000 0.000 0.000
Pm2 0.000 0.500 0.500
Pm3 0.500 0.000 0.500
Pm4 0.500 0.500 0.000
Cu1 0.000 0.000 0.500
Cu2 0.000 0.500 0.000
Cu3 0.500 0.000 0.000
Cu4 0.500 0.500 0.500
Ir1 0.250 0.250 0.250
Ir2 0.250 0.750 0.750
Ir3 0.750 0.250 0.750
Ir4 0.750 0.750 0.250


Version x
The following is a PBE calculation of a relaxed structure of PmCuIr, from OQMD via LeMat-Bulk.

a b c (Å): 6.526 6.526 6.526
angles (deg): 90.00 90.00 90.00
Fractional coordinates of all 12 atoms:
Pm1 0.000 0.000 0.000
Pm2 0.000 0.500 0.500
Pm3 0.500 0.000 0.500
Pm4 0.500 0.500 0.000
Cu1 0.250 0.250 0.750
Cu2 0.250 0.750 0.250
Cu3 0.750 0.250 0.250
Cu4 0.750 0.750 0.750
Ir1 0.250 0.250 0.250
Ir2 0.250 0.750 0.750
Ir3 0.750 0.250 0.750
Ir4 0.750 0.750 0.250


Which is the most stable structure? version w is the most stable.


Version w
The following is a PBE calculation of a relaxed structure of RbCuIrSe3, from OQMD via LeMat-Bulk.

a b c (Å): 8.507 3.913 9.788
angles (deg): 90.00 113.63 90.00
Fractional coordinates of all 12 atoms:
Rb1 0.239 0.250 0.265
Rb2 0.761 0.750 0.735
Cu1 0.074 0.250 0.589
Cu2 0.926 0.750 0.411
Ir1 0.321 0.750 0.850
Ir2 0.679 0.250 0.150
Se1 0.131 0.250 0.853
Se2 0.236 0.750 0.567
Se3 0.480 0.750 0.127
Se4 0.520 0.250 0.873
Se5 0.764 0.250 0.433
Se6 0.869 0.750 0.147


Version x
The following is a PBE calculation of a relaxed structure of RbCuIrSe3, from OQMD via LeMat-Bulk.

a b c (Å): 12.981 3.841 11.624
angles (deg): 90.00 90.00 90.00
Fractional coordinates of all 24 atoms:
Rb1 0.158 0.250 0.037
Rb2 0.342 0.750 0.537
Rb3 0.658 0.250 0.463
Rb4 0.842 0.750 0.963
Cu1 0.222 0.750 0.278
Cu2 0.278 0.250 0.778
Cu3 0.722 0.750 0.222
Cu4 0.778 0.250 0.722
Ir1 0.034 0.750 0.633
Ir2 0.466 0.250 0.133
Ir3 0.534 0.750 0.867
Ir4 0.966 0.250 0.367
Se1 0.043 0.750 0.252
Se2 0.104 0.250 0.517
Se3 0.174 0.750 0.784
Se4 0.326 0.250 0.284
Se5 0.396 0.750 0.017
Se6 0.457 0.250 0.752
Se7 0.543 0.750 0.248
Se8 0.604 0.250 0.983
Se9 0.674 0.750 0.716
Se10 0.826 0.250 0.216
Se11 0.896 0.750 0.483
Se12 0.957 0.250 0.748


Which is the most stable structure? version w is the most stable.


Version w
The following is a PBE calculation of a relaxed structure of RbCuIrSe3, from OQMD via LeMat-Bulk.

a b c (Å): 14.923 3.909 10.095
angles (deg): 90.00 90.00 90.00
Fractional coordinates of all 24 atoms:
Rb1 0.236 0.250 0.047
Rb2 0.264 0.750 0.547
Rb3 0.736 0.250 0.453
Rb4 0.764 0.750 0.953
Cu1 0.010 0.750 0.084
Cu2 0.490 0.250 0.584
Cu3 0.510 0.750 0.416
Cu4 0.990 0.250 0.916
Ir1 0.017 0.250 0.339
Ir2 0.483 0.750 0.839
Ir3 0.517 0.250 0.161
Ir4 0.983 0.750 0.661
Se1 0.074 0.250 0.572
Se2 0.084 0.750 0.867
Se3 0.115 0.750 0.268
Se4 0.385 0.250 0.768
Se5 0.416 0.250 0.367
Se6 0.426 0.750 0.072
Se7 0.574 0.250 0.928
Se8 0.584 0.750 0.633
Se9 0.615 0.750 0.232
Se10 0.885 0.250 0.732
Se11 0.916 0.250 0.133
Se12 0.926 0.750 0.428


Version x
The following is a PBE calculation of a relaxed structure of RbCuIrSe3, from OQMD via LeMat-Bulk.

a b c (Å): 13.213 3.812 11.597
angles (deg): 90.00 90.00 90.00
Fractional coordinates of all 24 atoms:
Rb1 0.159 0.250 0.024
Rb2 0.341 0.750 0.524
Rb3 0.659 0.250 0.476
Rb4 0.841 0.750 0.976
Cu1 0.215 0.750 0.265
Cu2 0.285 0.250 0.765
Cu3 0.715 0.750 0.235
Cu4 0.785 0.250 0.735
Ir1 0.035 0.750 0.634
Ir2 0.465 0.250 0.134
Ir3 0.535 0.750 0.866
Ir4 0.965 0.250 0.366
Se1 0.039 0.750 0.245
Se2 0.102 0.250 0.514
Se3 0.181 0.750 0.775
Se4 0.319 0.250 0.275
Se5 0.398 0.750 0.014
Se6 0.461 0.250 0.745
Se7 0.539 0.750 0.255
Se8 0.602 0.250 0.986
Se9 0.681 0.750 0.725
Se10 0.819 0.250 0.225
Se11 0.898 0.750 0.486
Se12 0.961 0.250 0.755


Version y
The following is a PBE calculation of a relaxed structure of RbCuIrSe3, from OQMD via LeMat-Bulk.

a b c (Å): 7.896 7.896 9.829
angles (deg): 90.00 90.00 151.94
Fractional coordinates of all 12 atoms:
Rb1 0.243 0.757 0.750
Rb2 0.757 0.243 0.250
Cu1 0.464 0.536 0.250
Cu2 0.536 0.464 0.750
Ir1 0.000 0.000 0.000
Ir2 0.000 0.000 0.500
Se1 0.062 0.938 0.250
Se2 0.392 0.608 0.035
Se3 0.392 0.608 0.465
Se4 0.608 0.392 0.535
Se5 0.608 0.392 0.965
Se6 0.938 0.062 0.750


Which is the most stable structure? version w is the most stable.


Version w
The following is a PBE calculation of a relaxed structure of RbCuIrSe3, from OQMD via LeMat-Bulk.

a b c (Å): 8.624 3.906 16.181
angles (deg): 90.00 90.00 90.00
Fractional coordinates of all 24 atoms:
Rb1 0.059 0.250 0.150
Rb2 0.441 0.750 0.650
Rb3 0.559 0.250 0.350
Rb4 0.941 0.750 0.850
Cu1 0.059 0.250 0.686
Cu2 0.441 0.750 0.186
Cu3 0.559 0.250 0.814
Cu4 0.941 0.750 0.314
Ir1 0.162 0.750 0.444
Ir2 0.338 0.250 0.944
Ir3 0.662 0.750 0.056
Ir4 0.838 0.250 0.556
Se1 0.033 0.750 0.583
Se2 0.189 0.750 0.996
Se3 0.232 0.750 0.291
Se4 0.268 0.250 0.791
Se5 0.311 0.250 0.496
Se6 0.467 0.250 0.083
Se7 0.533 0.750 0.917
Se8 0.689 0.750 0.504
Se9 0.732 0.750 0.209
Se10 0.768 0.250 0.709
Se11 0.811 0.250 0.004
Se12 0.967 0.250 0.417


Version x
The following is a PBE calculation of a relaxed structure of RbCuIrSe3, from OQMD via LeMat-Bulk.

a b c (Å): 9.905 3.839 14.922
angles (deg): 90.00 90.00 90.00
Fractional coordinates of all 24 atoms:
Rb1 0.226 0.250 0.008
Rb2 0.274 0.750 0.508
Rb3 0.726 0.250 0.492
Rb4 0.774 0.750 0.992
Cu1 0.232 0.250 0.719
Cu2 0.268 0.750 0.219
Cu3 0.732 0.250 0.781
Cu4 0.768 0.750 0.281
Ir1 0.017 0.750 0.736
Ir2 0.483 0.250 0.236
Ir3 0.517 0.750 0.764
Ir4 0.983 0.250 0.264
Se1 0.035 0.750 0.158
Se2 0.041 0.250 0.624
Se3 0.228 0.250 0.314
Se4 0.272 0.750 0.814
Se5 0.459 0.750 0.124
Se6 0.465 0.250 0.658
Se7 0.535 0.750 0.342
Se8 0.541 0.250 0.876
Se9 0.728 0.250 0.186
Se10 0.772 0.750 0.686
Se11 0.959 0.750 0.376
Se12 0.965 0.250 0.842


Which is the most stable structure? version x is the most stable.